(1)
# TbPmZnIr (PBE, relaxed)
# Calculated formation energy ... -557 meV/atom
# Space group ... F-43m (216)
# Energy relative to the lowest polymorph listed for this composition ... 10 meV/atom
# Final energy ... -21.74 eV per cell
data_TbPmZnIr
_cell_length_a 5.008
_cell_length_b 5.008
_cell_length_c 5.008
_cell_angle_alpha 60.00
_cell_angle_beta 60.00
_cell_angle_gamma 60.00
_space_group_name_H-M_alt 'P 1'
_space_group_IT_number 1
_space_group_name_Hall 'P 1'
loop_
_atom_site_label
_atom_site_type_symbol
_atom_site_fract_x
_atom_site_fract_y
_atom_site_fract_z
_atom_site_occupancy
Tb1 Tb 0.750 0.750 0.750 1
Ir1 Ir 0.500 0.500 0.500 1
Pm1 Pm 0.250 0.250 0.250 1
Zn1 Zn 0.000 0.000 0.000 1


(2)
# Pm8TcIr2 (PBE, relaxed)
# Calculated formation energy ... -226 meV/atom
# Space group ... Cm (8)
# Final energy ... -68.58 eV per cell
data_Pm8TcIr2
_cell_length_a 6.090
_cell_length_b 7.727
_cell_length_c 7.727
_cell_angle_alpha 113.69
_cell_angle_beta 100.84
_cell_angle_gamma 100.84
_space_group_name_H-M_alt 'P 1'
_space_group_IT_number 1
_space_group_name_Hall 'P 1'
loop_
_atom_site_label
_atom_site_type_symbol
_atom_site_fract_x
_atom_site_fract_y
_atom_site_fract_z
_atom_site_occupancy
Ir1 Ir 0.498 0.698 0.314 1
Ir2 Ir 0.498 0.314 0.698 1
Pm1 Pm 0.993 0.207 0.786 1
Pm2 Pm 0.184 0.364 0.364 1
Pm3 Pm 0.808 0.647 0.647 1
Pm4 Pm 0.387 0.922 0.666 1
Pm5 Pm 0.588 0.083 0.336 1
Pm6 Pm 0.993 0.786 0.207 1
Pm7 Pm 0.588 0.336 0.083 1
Pm8 Pm 0.387 0.666 0.922 1
Tc1 Tc 0.075 0.011 0.011 1


(3)
# PmZrTcIr (PBE, relaxed)
# Calculated formation energy ... -343 meV/atom
# Space group ... F-43m (216)
# Final energy ... -33.90 eV per cell
data_PmZrTcIr
_cell_length_a 4.801
_cell_length_b 4.801
_cell_length_c 4.801
_cell_angle_alpha 60.00
_cell_angle_beta 60.00
_cell_angle_gamma 60.00
_space_group_name_H-M_alt 'P 1'
_space_group_IT_number 1
_space_group_name_Hall 'P 1'
loop_
_atom_site_label
_atom_site_type_symbol
_atom_site_fract_x
_atom_site_fract_y
_atom_site_fract_z
_atom_site_occupancy
Pm1 Pm 0.750 0.750 0.750 1
Zr1 Zr 0.250 0.250 0.250 1
Ir1 Ir 0.000 0.000 0.000 1
Tc1 Tc 0.500 0.500 0.500 1


(4)
# Pm6Te2Ir3 (PBE, relaxed)
# Space group ... C2/m (12)
# Final energy ... -70.96 eV per cell
data_Pm6Te2Ir3
_cell_length_a 7.181
_cell_length_b 7.181
_cell_length_c 8.104
_cell_angle_alpha 81.70
_cell_angle_beta 81.70
_cell_angle_gamma 119.46
_space_group_name_H-M_alt 'P 1'
_space_group_IT_number 1
_space_group_name_Hall 'P 1'
loop_
_atom_site_label
_atom_site_type_symbol
_atom_site_fract_x
_atom_site_fract_y
_atom_site_fract_z
_atom_site_occupancy
Pm1 Pm 0.397 0.045 0.807 1
Pm2 Pm 0.603 0.955 0.193 1
Pm3 Pm 0.756 0.756 0.792 1
Pm4 Pm 0.955 0.603 0.193 1
Pm5 Pm 0.244 0.244 0.208 1
Pm6 Pm 0.045 0.397 0.807 1
Ir1 Ir 0.000 0.000 0.000 1
Ir2 Ir 0.657 0.343 0.000 1
Ir3 Ir 0.343 0.657 0.000 1
Te1 Te 0.830 0.170 0.500 1
Te2 Te 0.170 0.830 0.500 1


(5)
# PmTe2Ir (PBE, relaxed)
# Space group ... R-3m (166)
# Final energy ... -20.73 eV per cell
data_PmTe2Ir
_cell_length_a 4.003
_cell_length_b 4.003
_cell_length_c 9.307
_cell_angle_alpha 77.58
_cell_angle_beta 77.58
_cell_angle_gamma 60.00
_space_group_name_H-M_alt 'P 1'
_space_group_IT_number 1
_space_group_name_Hall 'P 1'
loop_
_atom_site_label
_atom_site_type_symbol
_atom_site_fract_x
_atom_site_fract_y
_atom_site_fract_z
_atom_site_occupancy
Ir1 Ir 0.500 0.500 0.500 1
Pm1 Pm 0.000 0.000 0.000 1
Te1 Te 0.117 0.117 0.650 1
Te2 Te 0.883 0.883 0.350 1


(6)
# Pm2TeIr (PBE, relaxed)
# Space group ... P6_3/mmc (194)
# Energy relative to the lowest polymorph listed for this composition ... 1 meV/atom
# Final energy ... -51.09 eV per cell
data_Pm2TeIr
_cell_length_a 4.205
_cell_length_b 4.205
_cell_length_c 15.027
_cell_angle_alpha 90.00
_cell_angle_beta 90.00
_cell_angle_gamma 120.00
_space_group_name_H-M_alt 'P 1'
_space_group_IT_number 1
_space_group_name_Hall 'P 1'
loop_
_atom_site_label
_atom_site_type_symbol
_atom_site_fract_x
_atom_site_fract_y
_atom_site_fract_z
_atom_site_occupancy
Ir1 Ir 0.000 0.000 0.000 1
Ir2 Ir 0.000 0.000 0.500 1
Te1 Te 0.667 0.333 0.250 1
Te2 Te 0.333 0.667 0.750 1
Pm1 Pm 0.333 0.667 0.396 1
Pm2 Pm 0.333 0.667 0.104 1
Pm3 Pm 0.667 0.333 0.896 1
Pm4 Pm 0.667 0.333 0.604 1


(7)
# Pm2TeIr (PBE, relaxed)
# Space group ... P4/mmm (123)
# Energy relative to the lowest polymorph listed for this composition ... 132 meV/atom
# Final energy ... -25.02 eV per cell
data_Pm2TeIr
_cell_length_a 3.677
_cell_length_b 3.677
_cell_length_c 7.558
_cell_angle_alpha 90.00
_cell_angle_beta 90.00
_cell_angle_gamma 90.00
_space_group_name_H-M_alt 'P 1'
_space_group_IT_number 1
_space_group_name_Hall 'P 1'
loop_
_atom_site_label
_atom_site_type_symbol
_atom_site_fract_x
_atom_site_fract_y
_atom_site_fract_z
_atom_site_occupancy
Te1 Te 0.500 0.500 0.500 1
Ir1 Ir 0.500 0.500 0.000 1
Pm1 Pm 0.000 0.000 0.223 1
Pm2 Pm 0.000 0.000 0.777 1


(8)
# Pm2TeIr (PBE, relaxed)
# Space group ... R3m (160)
# Energy relative to the lowest polymorph listed for this composition ... 17 meV/atom
# Final energy ... -25.48 eV per cell
data_Pm2TeIr
_cell_length_a 4.224
_cell_length_b 4.224
_cell_length_c 7.871
_cell_angle_alpha 74.44
_cell_angle_beta 74.44
_cell_angle_gamma 60.00
_space_group_name_H-M_alt 'P 1'
_space_group_IT_number 1
_space_group_name_Hall 'P 1'
loop_
_atom_site_label
_atom_site_type_symbol
_atom_site_fract_x
_atom_site_fract_y
_atom_site_fract_z
_atom_site_occupancy
Pm1 Pm 0.070 0.070 0.791 1
Pm2 Pm 0.264 0.264 0.208 1
Te1 Te 0.500 0.500 0.499 1
Ir1 Ir 0.666 0.666 0.002 1


(9)
# Pm8Te2Ir3 (PBE, relaxed)
# Space group ... Cmmm (65)
# Final energy ... -80.01 eV per cell
data_Pm8Te2Ir3
_cell_length_a 4.927
_cell_length_b 9.951
_cell_length_c 9.227
_cell_angle_alpha 122.63
_cell_angle_beta 90.00
_cell_angle_gamma 90.00
_space_group_name_H-M_alt 'P 1'
_space_group_IT_number 1
_space_group_name_Hall 'P 1'
loop_
_atom_site_label
_atom_site_type_symbol
_atom_site_fract_x
_atom_site_fract_y
_atom_site_fract_z
_atom_site_occupancy
Ir1 Ir 0.500 0.000 0.000 1
Ir2 Ir 0.000 0.751 0.000 1
Ir3 Ir 0.000 0.249 0.000 1
Pm1 Pm 0.000 0.607 0.215 1
Pm2 Pm 0.000 0.887 0.774 1
Pm3 Pm 0.000 0.393 0.785 1
Pm4 Pm 0.500 0.135 0.778 1
Pm5 Pm 0.500 0.356 0.221 1
Pm6 Pm 0.500 0.644 0.779 1
Pm7 Pm 0.500 0.865 0.222 1
Pm8 Pm 0.000 0.113 0.226 1
Te1 Te 0.500 0.256 0.512 1
Te2 Te 0.500 0.744 0.488 1


(10)
# Pm3Te2Ir (PBE, relaxed)
# Space group ... Cmmm (65)
# Energy relative to the lowest polymorph listed for this composition ... 144 meV/atom
# Final energy ... -35.64 eV per cell
data_Pm3Te2Ir
_cell_length_a 4.262
_cell_length_b 6.184
_cell_length_c 8.105
_cell_angle_alpha 112.42
_cell_angle_beta 90.00
_cell_angle_gamma 90.00
_space_group_name_H-M_alt 'P 1'
_space_group_IT_number 1
_space_group_name_Hall 'P 1'
loop_
_atom_site_label
_atom_site_type_symbol
_atom_site_fract_x
_atom_site_fract_y
_atom_site_fract_z
_atom_site_occupancy
Pm1 Pm 0.500 0.876 0.752 1
Pm2 Pm 0.500 0.124 0.248 1
Pm3 Pm 0.000 0.500 0.000 1
Ir1 Ir 0.000 0.000 0.000 1
Te1 Te 0.500 0.660 0.319 1
Te2 Te 0.500 0.340 0.681 1


(11)
# Pm2TeIr (PBE, relaxed)
# Space group ... R-3m (166)
# Energy relative to the lowest polymorph listed for this composition ... 0 meV/atom
# Final energy ... -25.55 eV per cell
data_Pm2TeIr
_cell_length_a 4.221
_cell_length_b 4.221
_cell_length_c 7.820
_cell_angle_alpha 74.34
_cell_angle_beta 74.34
_cell_angle_gamma 60.00
_space_group_name_H-M_alt 'P 1'
_space_group_IT_number 1
_space_group_name_Hall 'P 1'
loop_
_atom_site_label
_atom_site_type_symbol
_atom_site_fract_x
_atom_site_fract_y
_atom_site_fract_z
_atom_site_occupancy
Pm1 Pm 0.263 0.263 0.210 1
Pm2 Pm 0.737 0.737 0.790 1
Ir1 Ir 0.000 0.000 0.000 1
Te1 Te 0.500 0.500 0.500 1